[1]
VASP calculation (PBE-GGA) on a relaxed structure of V2HIr.

Results
The value obtained for the density is 7.1 g/cm3. The calculation puts the energy above the most stable polymorph in this dataset at 1.82 eV/f.u. The value obtained for the energy is -7.21 eV/atom.

Structure (POSCAR):
```
V2HIr
1.0
-1.133 -0.382 3.587
0.531 -3.276 1.812
4.746 0.551 3.550
H Ir V
1 1 2
direct
0.000 0.000 0.000
0.500 0.500 0.500
0.104 0.104 0.689
0.896 0.896 0.311
```

[2]
VASP calculation (PBE-GGA) on a relaxed structure of VHIr3.

Results
The value obtained for the density is 11.3 g/cm3. The calculation puts the energy above the most stable polymorph in this dataset at 10.43 eV/f.u. The value obtained for the energy is -5.92 eV/atom.

Structure (POSCAR):
```
VHIr3
1.0
4.524 0.000 0.000
0.000 4.524 0.000
0.000 0.000 4.524
H Ir V
1 3 1
direct
0.500 0.500 0.500
0.000 0.500 0.000
0.000 0.000 0.500
0.500 0.000 0.000
0.000 0.000 0.000
```

[3]
VASP calculation (PBE-GGA) on a relaxed structure of VHIrW2.

Results
The value obtained for the density is 16.3 g/cm3. The value obtained for the energy is -9.48 eV/atom.

Structure (POSCAR):
```
VHIrW2
1.0
3.980 0.000 0.000
0.000 3.980 0.000
0.000 0.000 3.935
H Ir W V
1 1 2 1
direct
0.000 0.000 0.000
0.500 0.500 0.500
0.000 0.500 0.000
0.500 0.000 0.000
0.000 0.000 0.500
```

[4]
VASP calculation (PBE-GGA) on a relaxed structure of V2HIrW.

Results
The value obtained for the density is 13.3 g/cm3. The calculation puts the energy above the most stable polymorph in this dataset at 0.07 eV/f.u. The value obtained for the energy is -8.79 eV/atom.

Structure (POSCAR):
```
V2HIrW
1.0
4.092 0.000 0.000
0.000 4.092 0.000
0.000 0.000 3.584
H Ir W V
1 1 1 2
direct
0.000 0.000 0.000
0.000 0.000 0.500
0.500 0.500 0.500
0.000 0.500 0.000
0.500 0.000 0.000
```

[5]
VASP calculation (PBE-GGA) on a relaxed structure of V2HIrW.

Results
The value obtained for the density is 13.3 g/cm3. The calculation puts the energy above the most stable polymorph in this dataset at 0.00 eV/f.u. The value obtained for the energy is -8.81 eV/atom.

Structure (POSCAR):
```
V2HIrW
1.0
-0.130 -1.517 -3.597
3.442 -1.743 0.610
-1.843 -3.152 1.396
H Ir W V
1 1 1 2
direct
0.000 0.000 0.000
0.500 0.500 0.500
0.000 0.000 0.500
0.000 0.500 0.000
0.500 0.000 0.000
```

[6]
VASP calculation (PBE-GGA) on a relaxed structure of VZn2HIr.

Results
The value obtained for the density is 5.8 g/cm3. The value obtained for the energy is -3.83 eV/atom.

Structure (POSCAR):
```
VZn2HIr
1.0
4.832 0.000 0.000
0.000 4.592 0.000
0.000 0.000 4.832
H Zn Ir V
1 2 1 1
direct
0.500 0.500 0.500
0.000 0.000 0.500
0.500 0.000 0.000
0.000 0.000 0.000
0.000 0.500 0.000
```

[7]
VASP calculation (PBE-GGA) on a relaxed structure of Zr2VHIr.

Results
The value obtained for the density is 9.6 g/cm3. The value obtained for the energy is -8.10 eV/atom.

Structure (POSCAR):
```
Zr2VHIr
1.0
4.600 0.000 0.000
0.000 4.600 0.000
0.000 0.000 3.483
H Ir Zr V
1 1 2 1
direct
0.000 0.000 0.000
0.500 0.500 0.500
0.000 0.500 0.000
0.500 0.000 0.000
0.000 0.000 0.500
```

[8]
VASP calculation (PBE-GGA) on a relaxed structure of H2IrW.

Results
The value obtained for the density is 16.5 g/cm3. The calculation puts the energy above the most stable polymorph in this dataset at 2.26 eV/f.u. The value obtained for the energy is -6.27 eV/atom.

Structure (POSCAR):
```
H2IrW
1.0
-2.457 -2.413 1.551
-3.549 1.098 0.685
-2.840 -1.392 -2.066
H Ir W
2 1 1
direct
0.250 0.250 0.250
0.750 0.750 0.750
0.500 0.500 0.500
0.000 0.000 0.000
```

[9]
VASP calculation (PBE-GGA) on a relaxed structure of HIrW2.

Results
The value obtained for the density is 16.8 g/cm3. The calculation puts the energy above the most stable polymorph in this dataset at 0.34 eV/f.u. The value obtained for the energy is -8.83 eV/atom.

Structure (POSCAR):
```
HIrW2
1.0
0.133 2.515 3.458
0.125 4.252 -0.451
-3.405 2.364 1.058
H Ir W
1 1 2
direct
0.000 0.000 0.000
0.500 0.500 0.500
0.250 0.250 0.250
0.750 0.750 0.750
```

[10]
VASP calculation (PBE-GGA) on a relaxed structure of HIrW.

Results
The value obtained for the density is 18.3 g/cm3. The value obtained for the energy is -8.16 eV/atom.

Structure (POSCAR):
```
HIrW
1.0
-3.173 -1.060 -3.228
3.959 0.084 -3.919
0.903 -5.146 0.802
H Ir W
4 4 4
direct
0.250 0.980 0.610
0.250 0.520 0.110
0.750 0.020 0.390
0.750 0.480 0.890
0.750 0.671 0.166
0.250 0.171 0.334
0.750 0.829 0.666
0.250 0.329 0.834
0.250 0.839 0.968
0.750 0.339 0.532
0.750 0.161 0.032
0.250 0.661 0.468
```

[11]
VASP calculation (PBE-GGA) on a relaxed structure of H2Ir2W.

Results
The value obtained for the density is 17.7 g/cm3. The calculation puts the energy above the most stable polymorph in this dataset at 0.00 eV/f.u. The value obtained for the energy is -7.23 eV/atom.

Structure (POSCAR):
```
H2Ir2W
1.0
6.166 0.000 0.000
0.000 6.166 0.000
0.000 0.000 2.818
H Ir W
4 4 2
direct
0.278 0.778 0.000
0.778 0.722 0.000
0.722 0.222 0.000
0.222 0.278 0.000
0.148 0.648 0.500
0.648 0.852 0.500
0.852 0.352 0.500
0.352 0.148 0.500
0.000 0.000 0.000
0.500 0.500 0.000
```

[12]
VASP calculation (PBE-GGA) on a relaxed structure of HIrW2.

Results
The value obtained for the density is 15.7 g/cm3. The calculation puts the energy above the most stable polymorph in this dataset at 0.59 eV/f.u. The value obtained for the energy is -8.77 eV/atom.

Structure (POSCAR):
```
HIrW2
1.0
4.716 0.000 0.000
0.000 4.716 0.000
2.358 2.358 5.338
H Ir W
2 2 4
direct
0.500 0.500 0.000
0.250 0.750 0.500
0.000 0.000 0.000
0.750 0.250 0.500
0.499 0.125 0.250
0.251 0.625 0.250
0.375 0.501 0.750
0.875 0.749 0.750
```

[13]
VASP calculation (PBE-GGA) on a relaxed structure of HIrW3.

Results
The value obtained for the density is 19.1 g/cm3. The calculation puts the energy above the most stable polymorph in this dataset at 0.00 eV/f.u. The value obtained for the energy is -10.15 eV/atom.

Structure (POSCAR):
```
HIrW3
1.0
4.017 0.000 0.000
0.000 4.017 0.000
0.000 0.000 4.017
H Ir W
1 1 3
direct
0.000 0.000 0.000
0.500 0.500 0.500
0.000 0.500 0.000
0.000 0.000 0.500
0.500 0.000 0.000
```

[14]
VASP calculation (PBE-GGA) on a relaxed structure of HIrW2.

Results
The value obtained for the density is 18.0 g/cm3. The calculation puts the energy above the most stable polymorph in this dataset at 0.00 eV/f.u. The value obtained for the energy is -8.91 eV/atom.

Structure (POSCAR):
```
HIrW2
1.0
-1.803 1.433 1.608
-0.786 -1.032 2.491
4.942 3.716 4.683
H Ir W
1 1 2
direct
0.500 0.500 0.500
0.000 0.000 0.000
0.111 0.111 0.666
0.889 0.889 0.334
```

[15]
VASP calculation (PBE-GGA) on a relaxed structure of H2IrW.

Results
The value obtained for the density is 16.9 g/cm3. The calculation puts the energy above the most stable polymorph in this dataset at 0.00 eV/f.u. The value obtained for the energy is -6.84 eV/atom.

Structure (POSCAR):
```
H2IrW
1.0
-4.102 -1.075 0.014
0.383 -1.409 3.981
-2.841 2.519 3.423
H Ir W
4 2 2
direct
0.638 0.125 0.250
0.112 0.625 0.250
0.375 0.362 0.750
0.875 0.888 0.750
0.000 0.000 0.000
0.750 0.250 0.500
0.500 0.500 0.000
0.250 0.750 0.500
```

[16]
VASP calculation (PBE-GGA) on a relaxed structure of H3IrW.

Results
The value obtained for the density is 15.1 g/cm3. The calculation puts the energy above the most stable polymorph in this dataset at 1.00 eV/f.u. The value obtained for the energy is -5.65 eV/atom.

Structure (POSCAR):
```
H3IrW
1.0
3.469 0.000 0.000
0.000 3.469 0.000
0.000 0.000 3.469
H Ir W
3 1 1
direct
0.000 0.500 0.000
0.000 0.000 0.500
0.500 0.000 0.000
0.500 0.500 0.500
0.000 0.000 0.000
```

[17]
VASP calculation (PBE-GGA) on a relaxed structure of H3IrW.

Results
The value obtained for the density is 15.4 g/cm3. The calculation puts the energy above the most stable polymorph in this dataset at 0.00 eV/f.u. The value obtained for the energy is -5.85 eV/atom.

Structure (POSCAR):
```
H3IrW
1.0
3.442 0.000 0.000
0.000 3.442 0.000
0.000 0.000 3.442
H Ir W
3 1 1
direct
0.000 0.500 0.000
0.000 0.000 0.500
0.500 0.000 0.000
0.000 0.000 0.000
0.500 0.500 0.500
```

[18]
VASP calculation (PBE-GGA) on a relaxed structure of H2Ir2W.

Results
The value obtained for the density is 18.5 g/cm3. The calculation puts the energy above the most stable polymorph in this dataset at 0.03 eV/f.u. The value obtained for the energy is -7.22 eV/atom.

Structure (POSCAR):
```
H2Ir2W
1.0
-0.983 1.909 -2.734
-3.252 0.084 1.227
-1.215 4.538 1.395
H Ir W
2 2 1
direct
0.750 0.250 0.500
0.250 0.750 0.500
0.339 0.339 0.322
0.661 0.661 0.678
0.000 0.000 0.000
```

[19]
VASP calculation (PBE-GGA) on a relaxed structure of HIrW3.

Results
The value obtained for the density is 11.4 g/cm3. The calculation puts the energy above the most stable polymorph in this dataset at 12.93 eV/f.u. The value obtained for the energy is -7.57 eV/atom.

Structure (POSCAR):
```
HIrW3
1.0
4.775 0.000 0.000
0.000 4.775 0.000
0.000 0.000 4.775
H Ir W
1 1 3
direct
0.500 0.500 0.500
0.000 0.000 0.000
0.000 0.500 0.000
0.000 0.000 0.500
0.500 0.000 0.000
```

[20]
VASP calculation (PBE-GGA) on a relaxed structure of HIr3W.

Results
The value obtained for the density is 11.7 g/cm3. The value obtained for the energy is -6.33 eV/atom.

Structure (POSCAR):
```
HIr3W
1.0
4.764 0.000 0.000
0.000 4.764 0.000
0.000 0.000 4.764
H Ir W
1 3 1
direct
0.500 0.500 0.500
0.000 0.500 0.000
0.000 0.000 0.500
0.500 0.000 0.000
0.000 0.000 0.000
```

[21]
VASP calculation (PBE-GGA) on a relaxed structure of Zr2HIrW.

Results
The value obtained for the density is 12.2 g/cm3. The value obtained for the energy is -8.77 eV/atom.

Structure (POSCAR):
```
Zr2HIrW
1.0
-2.504 -2.672 -2.844
3.739 -2.607 -0.843
-0.853 -2.106 2.730
H Ir Zr W
1 1 2 1
direct
0.000 0.000 0.000
0.500 0.500 0.500
0.000 0.500 0.000
0.500 0.000 0.000
0.000 0.000 0.500
```

[22]
VASP calculation (PBE-GGA) on a relaxed structure of Y3HIr.

Results
The value obtained for the density is 7.6 g/cm3. The calculation puts the energy above the most stable polymorph in this dataset at 1.08 eV/f.u. The value obtained for the energy is -6.57 eV/atom.

Structure (POSCAR):
```
Y3HIr
1.0
4.655 0.000 0.000
0.000 4.655 0.000
0.000 0.000 4.655
Y H Ir
3 1 1
direct
0.000 0.500 0.000
0.000 0.000 0.500
0.500 0.000 0.000
0.000 0.000 0.000
0.500 0.500 0.500
```

[23]
VASP calculation (PBE-GGA) on a relaxed structure of Y2HIr.

Results
The value obtained for the density is 8.3 g/cm3. The calculation puts the energy above the most stable polymorph in this dataset at 2.96 eV/f.u. The value obtained for the energy is -6.09 eV/atom.

Structure (POSCAR):
```
Y2HIr
1.0
-2.590 -1.469 -1.190
-0.077 -0.862 -3.087
2.386 -8.149 0.550
Y H Ir
2 1 1
direct
0.105 0.105 0.686
0.895 0.895 0.314
0.500 0.500 0.500
0.000 0.000 0.000
```

[24]
VASP calculation (PBE-GGA) on a relaxed structure of YHIr2.

Results
The value obtained for the density is 12.9 g/cm3. The calculation puts the energy above the most stable polymorph in this dataset at 0.00 eV/f.u. The value obtained for the energy is -7.22 eV/atom.

Structure (POSCAR):
```
YHIr2
1.0
5.566 0.000 0.000
0.000 5.566 0.000
2.783 2.783 3.944
Y H Ir
2 2 4
direct
0.000 0.000 0.000
0.750 0.250 0.500
0.500 0.500 0.000
0.250 0.750 0.500
0.406 0.125 0.250
0.344 0.625 0.250
0.375 0.594 0.750
0.875 0.656 0.750
```

[25]
VASP calculation (PBE-GGA) on a relaxed structure of YH2Ir2.

Results
The value obtained for the density is 13.0 g/cm3. The value obtained for the energy is -6.26 eV/atom.

Structure (POSCAR):
```
YH2Ir2
1.0
-2.294 -2.071 -2.050
2.745 -0.662 -2.404
1.392 -4.956 0.094
Y H Ir
1 2 2
direct
0.000 0.000 0.000
0.750 0.250 0.500
0.250 0.750 0.500
0.341 0.341 0.319
0.659 0.659 0.681
```

[26]
VASP calculation (PBE-GGA) on a relaxed structure of Y4HIr2.

Results
The value obtained for the density is 8.1 g/cm3. The value obtained for the energy is -7.28 eV/atom.

Structure (POSCAR):
```
Y4HIr2
1.0
-0.402 4.534 -0.294
-4.421 -0.459 -1.026
0.739 -1.729 7.730
Y H Ir
4 1 2
direct
0.813 0.813 0.626
0.187 0.187 0.374
0.000 0.500 0.000
0.500 0.000 0.000
0.000 0.000 0.000
0.626 0.626 0.253
0.374 0.374 0.747
```

[27]
VASP calculation (PBE-GGA) on a relaxed structure of YH6Ir.

Results
The value obtained for the density is 7.2 g/cm3. The value obtained for the energy is -4.88 eV/atom.

Structure (POSCAR):
```
YH6Ir
1.0
0.058 4.431 0.268
-1.092 2.008 3.806
3.354 2.030 2.480
Y H Ir
1 6 1
direct
0.500 0.500 0.500
0.898 0.898 0.763
0.440 0.898 0.763
0.102 0.560 0.237
0.560 0.102 0.237
0.102 0.102 0.237
0.898 0.440 0.763
0.000 0.000 0.000
```

[28]
VASP calculation (PBE-GGA) on a relaxed structure of YH2Ir.

Results
The value obtained for the density is 9.8 g/cm3. The calculation puts the energy above the most stable polymorph in this dataset at 0.00 eV/f.u. The value obtained for the energy is -5.92 eV/atom.

Structure (POSCAR):
```
YH2Ir
1.0
4.383 0.000 0.000
0.000 4.383 0.000
2.192 2.192 5.013
Y H Ir
2 4 2
direct
0.500 0.500 0.000
0.250 0.750 0.500
0.732 0.125 0.250
0.018 0.625 0.250
0.375 0.268 0.750
0.875 0.982 0.750
0.000 0.000 0.000
0.750 0.250 0.500
```